(1)
## Tl6Hg2RhAu (PBE-GGA)

Data for a geometry-optimized Tl6Hg2RhAu structure.

Lattice parameters (Å, degrees): 7.583 7.603 7.614 120.31 119.90 91.87
Atoms (fractional coordinates):
Hg: 0.244 0.743 0.475
Hg: 0.756 0.258 0.525
Tl: 0.763 0.253 0.985
Tl: 0.660 0.691 0.842
Tl: 0.153 0.168 0.480
Tl: 0.340 0.310 0.157
Tl: 0.237 0.748 0.015
Tl: 0.846 0.833 0.520
Au: 0.500 0.501 0.000
Rh: 0.000 0.000 0.000

Summary:
- crystal system = triclinic
- electronic total energy (eV for the cell shown) = -25.1
- symmetry = P-1, No. 2
- N(E_F) (states/eV/atom) = 0.41


(2)
## NaGa2Co2 (PBE-GGA)

Data for a geometry-optimized NaGa2Co2 structure.

Lattice parameters (Å, degrees): 7.277 7.277 2.656 90.00 90.00 90.00
Atoms (fractional coordinates):
Co: 0.372 0.872 0.000
Co: 0.628 0.128 0.000
Co: 0.128 0.372 0.000
Co: 0.872 0.628 0.000
Na: 0.000 0.000 0.000
Na: 0.500 0.500 0.000
Ga: 0.665 0.835 0.500
Ga: 0.835 0.335 0.500
Ga: 0.165 0.665 0.500
Ga: 0.335 0.165 0.500

Summary:
- offset from the most stable computed form (meV/atom) = 0
- crystal system = tetragonal
- symmetry = P4/mbm, No. 127
- N(E_F) (states/eV/atom) = 0.86


(3)
## SrBe2AsO6 (PBE-GGA)

Data for a geometry-optimized SrBe2AsO6 structure.

Lattice parameters (Å, degrees): 6.264 6.831 6.831 84.27 65.95 65.95
Atoms (fractional coordinates):
O: 0.144 0.682 0.601
O: 0.796 0.053 0.191
O: 0.356 0.399 0.318
O: 0.478 0.837 0.388
O: 0.978 0.388 0.837
O: 0.296 0.191 0.053
O: 0.704 0.809 0.947
O: 0.522 0.163 0.612
O: 0.022 0.612 0.163
O: 0.856 0.318 0.399
O: 0.204 0.947 0.809
O: 0.644 0.601 0.682
Be: 0.605 0.265 0.378
Be: 0.105 0.378 0.265
Be: 0.395 0.735 0.622
Be: 0.895 0.622 0.735
As: 0.750 0.823 0.177
As: 0.250 0.177 0.823
Sr: 0.750 0.197 0.803
Sr: 0.250 0.803 0.197

Summary:
- crystal system = monoclinic
- electronic total energy (eV for the cell shown) = -126.1
- symmetry = C2/c, No. 15


(4)
## BaLiY2Hg (PBE-GGA)

Data for a geometry-optimized BaLiY2Hg structure.

Lattice parameters (Å, degrees): 5.957 5.984 5.957 90.00 90.00 90.00
Atoms (fractional coordinates):
Y: 0.000 0.000 0.500
Y: 0.500 0.000 0.000
Ba: 0.000 0.000 0.000
Li: 0.500 0.500 0.500
Hg: 0.000 0.500 0.000

Summary:
- crystal system = tetragonal
- electronic total energy (eV for the cell shown) = -12.2
- symmetry = P4/mmm, No. 123
- N(E_F) (states/eV/atom) = 0.79


(5)
## V2TeN (PBE-GGA)

Data for a geometry-optimized V2TeN structure.

Lattice parameters (Å, degrees): 5.384 5.384 6.191 64.23 64.23 90.00
Atoms (fractional coordinates):
Te: 0.750 0.250 0.500
Te: 0.000 0.000 0.000
N: 0.500 0.500 0.000
N: 0.250 0.750 0.500
V: 0.243 0.625 0.250
V: 0.375 0.493 0.750
V: 0.875 0.757 0.750
V: 0.507 0.125 0.250

Summary:
- offset from the most stable computed form (meV/atom) = 0
- crystal system = tetragonal
- symmetry = I-42d, No. 122
- N(E_F) (states/eV/atom) = 0.80


(6)
## Cd2SiP (PBE-GGA)

Data for a geometry-optimized Cd2SiP structure.

Lattice parameters (Å, degrees): 5.480 2.766 5.838 62.43 90.00 90.00
Atoms (fractional coordinates):
Cd: 0.000 0.275 0.000
Cd: 0.000 0.225 0.500
P: 0.500 0.250 0.250
Si: 0.500 0.750 0.750

Summary:
- offset from the most stable computed form (meV/atom) = 328
- crystal system = monoclinic
- symmetry = P2/m, No. 10
- N(E_F) (states/eV/atom) = 0.37


(7)
## ReAg2C (PBE-GGA)

Data for a geometry-optimized ReAg2C structure.

Lattice parameters (Å, degrees): 8.090 8.090 6.069 48.20 48.20 90.00
Atoms (fractional coordinates):
C: 0.500 0.500 0.000
C: 0.250 0.750 0.500
Ag: 0.375 0.489 0.750
Ag: 0.511 0.125 0.250
Ag: 0.875 0.761 0.750
Ag: 0.239 0.625 0.250
Re: 0.750 0.250 0.500
Re: 0.000 0.000 0.000

Summary:
- crystal system = tetragonal
- electronic total energy (eV for the cell shown) = -44.1
- symmetry = I-42d, No. 122
- N(E_F) (states/eV/atom) = 0.36


(8)
## LaTl3Cu (PBE-GGA)

Data for a geometry-optimized LaTl3Cu structure.

Lattice parameters (Å, degrees): 5.190 5.190 5.190 90.00 90.00 90.00
Atoms (fractional coordinates):
Tl: 0.000 0.500 0.000
Tl: 0.000 0.000 0.500
Tl: 0.500 0.000 0.000
La: 0.500 0.500 0.500
Cu: 0.000 0.000 0.000

Summary:
- offset from the most stable computed form (meV/atom) = 0
- crystal system = cubic
- symmetry = Pm-3m, No. 221
- N(E_F) (states/eV/atom) = 0.60


(9)
## CrReRu2 (PBE-GGA)

Data for a geometry-optimized CrReRu2 structure.

Lattice parameters (Å, degrees): 3.034 3.034 6.076 90.00 90.00 90.00
Atoms (fractional coordinates):
Ru: 0.500 0.500 0.297
Ru: 0.000 0.000 0.994
Cr: 0.000 0.000 0.469
Re: 0.500 0.500 0.739

Summary:
- offset from the most stable computed form (meV/atom) = 164
- crystal system = tetragonal
- symmetry = P4mm, No. 99
- N(E_F) (states/eV/atom) = 0.91


(10)
## ZrMoAs2Br (PBE-GGA)

Data for a geometry-optimized ZrMoAs2Br structure.

Lattice parameters (Å, degrees): 5.231 5.231 5.194 90.00 90.00 90.00
Atoms (fractional coordinates):
Br: 0.000 0.000 0.500
Mo: 0.500 0.500 0.500
Zr: 0.000 0.000 0.000
As: 0.500 0.000 0.000
As: 0.000 0.500 0.000

Summary:
- offset from the most stable computed form (meV/atom) = 128
- crystal system = tetragonal
- symmetry = P4/mmm, No. 123
- N(E_F) (states/eV/atom) = 0.75


(11)
## CeMgCd (PBE-GGA)

Data for a geometry-optimized CeMgCd structure.

Lattice parameters (Å, degrees): 3.215 3.215 7.395 102.56 102.56 90.00
Atoms (fractional coordinates):
Ce: 0.614 0.614 0.228
Cd: 0.940 0.940 0.880
Mg: 0.296 0.296 0.593

Summary:
- crystal system = tetragonal
- electronic total energy (eV for the cell shown) = -8.7
- symmetry = I4mm, No. 107
- N(E_F) (states/eV/atom) = 1.91


(12)
## SrCa3Pd2 (PBE-GGA)

Data for a geometry-optimized SrCa3Pd2 structure.

Lattice parameters (Å, degrees): 4.433 8.832 10.582 77.39 77.91 75.46
Atoms (fractional coordinates):
Ca: 0.595 0.249 0.561
Ca: 0.405 0.751 0.439
Ca: 0.162 0.928 0.748
Ca: 0.838 0.072 0.252
Ca: 0.405 0.237 0.952
Ca: 0.595 0.763 0.048
Pd: 0.229 0.097 0.445
Pd: 0.771 0.401 0.057
Pd: 0.229 0.599 0.943
Pd: 0.771 0.903 0.555
Sr: 0.150 0.440 0.259
Sr: 0.850 0.560 0.741

Summary:
- crystal system = monoclinic
- electronic total energy (eV for the cell shown) = -42.0
- symmetry = C2/m, No. 12
- N(E_F) (states/eV/atom) = 0.54


Looking at size of the total moment for the records above, in order, we have 0.00 0.15 0.10 0.00 0.98 0.00 0.28 0.00 0.00 0.77 0.21 0.00 μB per atom.